[1]
## MgSc2Fe (GGA-PBEsol)

Data for a relaxed structure of MgSc2Fe.

Geometry as POSCAR:
```
MgSc2Fe
1.0
-2.073 2.073 4.323
2.073 -2.073 4.323
2.073 2.073 -4.323
Mg Sc Fe
1 2 1
Direct
0.000 0.000 0.000
0.500 0.500 0.000
0.750 0.250 0.500
0.250 0.750 0.500
```

Output
The calculation puts the energy of formation from the pure elements at 184 meV/atom. As for the density of states at the Fermi level: 3.53 states/eV/f.u.



[2]
## Cr2SiSb (GGA-PBEsol)

Data for a relaxed structure of Cr2SiSb.

Geometry as POSCAR:
```
Cr2SiSb
1.0
1.788 1.032 6.005
-1.788 1.032 6.005
0.000 -2.064 6.005
Cr Si Sb
2 1 1
Direct
0.234 0.234 0.234
0.766 0.766 0.766
0.500 0.500 0.500
0.000 0.000 0.000
```

Output
For the energy above the most stable polymorph in this dataset, the calculation gives 0.00 kcal/mol of atoms. The energy relative to the elements, uncorrected is 0.329 eV per atom. As for the density of states at the Fermi level: 3.30 states/eV/f.u.



[3]
## SrTl2W (GGA-PBEsol)

Data for a relaxed structure of SrTl2W.

Geometry as POSCAR:
```
SrTl2W
1.0
3.255 -4.577 0.000
3.255 4.577 0.000
-0.292 0.000 3.062
Sr Tl W
1 2 1
Direct
0.000 0.000 0.000
0.000 0.500 0.500
0.500 0.000 0.500
0.500 0.500 0.000
```

Output
For the energy above the most stable polymorph in this dataset, the calculation gives 5.35 kcal/mol of atoms. The calculation puts the energy of formation from the pure elements at 794 meV/atom. As for the density of states at the Fermi level: 3.83 states/eV/f.u.



[4]
## Zr2TlCo (GGA-PBEsol)

Data for a relaxed structure of Zr2TlCo.

Geometry as POSCAR:
```
Zr2TlCo
1.0
3.045 0.000 0.000
0.000 3.045 0.000
0.000 0.000 8.037
Zr Tl Co
2 1 1
Direct
0.000 0.000 0.205
0.000 0.000 0.795
0.500 0.500 0.500
0.500 0.500 0.000
```

Output
The calculation puts the energy of formation from the pure elements at -190 meV/atom. As for the density of states at the Fermi level: 4.53 states/eV/f.u.



[5]
## YAg2Rh (GGA-PBEsol)

Data for a relaxed structure of YAg2Rh.

Geometry as POSCAR:
```
YAg2Rh
1.0
3.124 0.000 0.000
0.000 4.682 0.000
-1.387 0.000 5.026
Y Ag Rh
1 2 1
Direct
0.000 0.000 0.000
0.335 0.500 0.728
0.665 0.500 0.272
0.500 0.000 0.500
```

Output
For the energy above the most stable polymorph in this dataset, the calculation gives 5.54 kcal/mol of atoms. The calculation puts the energy of formation from the pure elements at -169 meV/atom. As for the density of states at the Fermi level: 1.40 states/eV/f.u.



[6]
## Tc2MoRh (GGA-PBEsol)

Data for a relaxed structure of Tc2MoRh.

Geometry as POSCAR:
```
Tc2MoRh
1.0
3.825 0.000 0.000
0.000 3.825 0.000
0.000 0.000 3.853
Tc Mo Rh
2 1 1
Direct
0.000 0.500 0.000
0.500 0.000 0.000
0.000 0.000 0.500
0.500 0.500 0.500
```

Output
For the energy above the most stable polymorph in this dataset, the calculation gives 0.00 kcal/mol of atoms. The calculation puts the energy of formation from the pure elements at -63 meV/atom. As for the density of states at the Fermi level: 3.18 states/eV/f.u.



[7]
## NaTiN2O (GGA-PBEsol)

Data for a relaxed structure of NaTiN2O.

Geometry as POSCAR:
```
NaTiN2O
1.0
3.911 0.000 0.000
0.000 3.911 0.000
0.000 0.000 3.768
Na Ti N O
1 1 2 1
Direct
0.000 0.000 0.000
0.500 0.500 0.500
0.000 0.500 0.000
0.500 0.000 0.000
0.000 0.000 0.500
```

Output
The energy relative to the elements, uncorrected is 1.347 eV per atom. As for the density of states at the Fermi level: 2.72 states/eV/f.u.



[8]
## BeCd2Ag (GGA-PBEsol)

Data for a relaxed structure of BeCd2Ag.

Geometry as POSCAR:
```
BeCd2Ag
1.0
1.466 0.846 8.847
-1.466 0.846 8.847
0.000 -1.693 8.847
Be Cd Ag
1 2 1
Direct
0.000 0.000 0.000
0.257 0.257 0.257
0.743 0.743 0.743
0.500 0.500 0.500
```

Output
The calculation puts the energy of formation from the pure elements at 231 meV/atom. As for the density of states at the Fermi level: 1.21 states/eV/f.u.



[9]
## MnAl2Mo (GGA-PBEsol)

Data for a relaxed structure of MnAl2Mo.

Geometry as POSCAR:
```
MnAl2Mo
1.0
2.743 0.000 0.000
0.000 3.609 0.000
0.000 0.000 5.662
Mn Al Mo
1 2 1
Direct
0.000 0.000 0.000
0.500 0.500 0.239
0.500 0.500 0.761
0.000 0.000 0.500
```

Output
The calculation puts the energy of formation from the pure elements at -96 meV/atom. As for the density of states at the Fermi level: 2.32 states/eV/f.u.



[10]
## MnBe3Si (GGA-PBEsol)

Data for a relaxed structure of MnBe3Si.

Geometry as POSCAR:
```
MnBe3Si
1.0
4.092 0.000 0.000
0.000 4.092 0.000
0.000 0.000 4.092
Mn Be Si
1 3 1
Direct
0.000 0.000 0.000
0.000 0.500 0.500
0.500 0.000 0.500
0.500 0.500 0.000
0.500 0.500 0.500
```

Output
The energy relative to the elements, uncorrected is 1.055 eV per atom. As for the density of states at the Fermi level: 2.68 states/eV/f.u.



[11]
## CsGdO2 (GGA-PBEsol)

Data for a relaxed structure of CsGdO2.

Geometry as POSCAR:
```
CsGdO2
1.0
3.559 0.000 0.000
-1.780 3.082 0.000
0.000 0.000 13.522
Cs Gd O
2 2 4
Direct
0.333 0.667 0.250
0.667 0.333 0.750
0.000 0.000 0.000
0.000 0.000 0.500
0.333 0.667 0.584
0.333 0.667 0.916
0.667 0.333 0.084
0.667 0.333 0.416
```

Output
The energy relative to the elements, uncorrected is -2.643 eV per atom. As for the density of states at the Fermi level: 0.00 states/eV/f.u.



[12]
## Mo3Pt (GGA-PBEsol)

Data for a relaxed structure of Mo3Pt.

Geometry as POSCAR:
```
Mo3Pt
1.0
2.661 0.000 0.000
0.000 4.161 0.000
-0.714 0.000 5.488
Mo Pt
3 1
Direct
0.000 0.000 0.000
0.416 0.500 0.246
0.584 0.500 0.754
0.000 0.000 0.500
```

Output
For the energy above the most stable polymorph in this dataset, the calculation gives 2.44 kcal/mol of atoms. The calculation puts the energy of formation from the pure elements at -21 meV/atom. As for the density of states at the Fermi level: 3.28 states/eV/f.u.



[13]
## NbWI2N (GGA-PBEsol)

Data for a relaxed structure of NbWI2N.

Geometry as POSCAR:
```
NbWI2N
1.0
5.558 0.000 0.000
0.000 5.558 0.000
0.000 0.000 3.854
Nb W I N
1 1 2 1
Direct
0.000 0.000 0.000
0.500 0.500 0.500
0.000 0.500 0.000
0.500 0.000 0.000
0.000 0.000 0.500
```

Output
The energy relative to the elements, uncorrected is 1.239 eV per atom. As for the density of states at the Fermi level: 4.03 states/eV/f.u.



[14]
## BaZn2Ni (GGA-PBEsol)

Data for a relaxed structure of BaZn2Ni.

Geometry as POSCAR:
```
BaZn2Ni
1.0
0.000 3.480 3.480
3.480 0.000 3.480
3.480 3.480 0.000
Ba Zn Ni
1 2 1
Direct
0.000 0.000 0.000
0.250 0.250 0.250
0.750 0.750 0.750
0.500 0.500 0.500
```

Output
The calculation puts the energy of formation from the pure elements at 319 meV/atom. As for the density of states at the Fermi level: 3.46 states/eV/f.u.



[15]
## ScZn12 (GGA-PBEsol)

Data for a relaxed structure of ScZn12.

Geometry as POSCAR:
```
ScZn12
1.0
-4.327 4.327 2.509
4.327 -4.327 2.509
4.327 4.327 -2.509
Sc Zn
1 12
Direct
0.000 0.000 0.000
0.000 0.000 0.500
0.000 0.352 0.352
0.000 0.500 0.000
0.000 0.648 0.648
0.288 0.500 0.788
0.352 0.000 0.352
0.500 0.000 0.000
0.500 0.288 0.788
0.500 0.500 0.500
0.500 0.712 0.212
0.648 0.000 0.648
0.712 0.500 0.212
```

Output
The calculation puts the energy of formation from the pure elements at -154 meV/atom. As for the density of states at the Fermi level: 2.45 states/eV/f.u.



[16]
## P4S5 (GGA-PBEsol)

Data for a relaxed structure of P4S5.

Geometry as POSCAR:
```
P4S5
1.0
6.166 0.000 0.000
0.000 11.177 0.000
-2.685 0.000 5.790
P S
8 10
Direct
0.078 0.147 0.130
0.078 0.353 0.130
0.217 0.250 0.666
0.390 0.750 0.777
0.610 0.250 0.223
0.783 0.750 0.334
0.922 0.647 0.870
0.922 0.853 0.870
0.155 0.750 0.416
0.280 0.607 0.929
0.280 0.893 0.929
0.283 0.108 0.482
0.283 0.392 0.482
0.717 0.608 0.518
0.717 0.892 0.518
0.720 0.107 0.071
0.720 0.393 0.071
0.845 0.250 0.584
```

Output
For the energy above the most stable polymorph in this dataset, the calculation gives 0.11 kcal/mol of atoms. The energy relative to the elements, uncorrected is -0.141 eV per atom. As for the density of states at the Fermi level: 0.00 states/eV/f.u.



[17]
## InAu2Se (GGA-PBEsol)

Data for a relaxed structure of InAu2Se.

Geometry as POSCAR:
```
InAu2Se
1.0
-2.114 2.114 4.276
2.114 -2.114 4.276
2.114 2.114 -4.276
In Au Se
1 2 1
Direct
0.000 0.000 0.000
0.250 0.750 0.500
0.500 0.500 0.000
0.750 0.250 0.500
```

Output
For the energy above the most stable polymorph in this dataset, the calculation gives 3.31 kcal/mol of atoms. The energy relative to the elements, uncorrected is 0.100 eV per atom. As for the density of states at the Fermi level: 1.60 states/eV/f.u.



[18]
## SrCo4Ru (GGA-PBEsol)

Data for a relaxed structure of SrCo4Ru.

Geometry as POSCAR:
```
SrCo4Ru
1.0
0.000 3.465 3.465
3.465 0.000 3.465
3.465 3.465 0.000
Sr Co Ru
1 4 1
Direct
0.000 0.000 0.000
0.129 0.624 0.624
0.624 0.129 0.624
0.624 0.624 0.129
0.624 0.624 0.624
0.250 0.250 0.250
```

Output
The calculation puts the energy of formation from the pure elements at 500 meV/atom. As for the density of states at the Fermi level: 7.57 states/eV/f.u.



[19]
## CrTeAu2 (GGA-PBEsol)

Data for a relaxed structure of CrTeAu2.

Geometry as POSCAR:
```
CrTeAu2
1.0
3.931 0.000 0.000
0.000 3.931 0.000
0.000 0.000 4.814
Cr Te Au
1 1 2
Direct
0.000 0.000 0.000
0.500 0.500 0.000
0.000 0.500 0.500
0.500 0.000 0.500
```

Output
The energy relative to the elements, uncorrected is 0.214 eV per atom. As for the density of states at the Fermi level: 1.63 states/eV/f.u.



[20]
## Ti3BRu (GGA-PBEsol)

Data for a relaxed structure of Ti3BRu.

Geometry as POSCAR:
```
Ti3BRu
1.0
4.167 0.000 0.000
0.000 4.167 0.000
0.000 0.000 4.167
Ti B Ru
3 1 1
Direct
0.000 0.000 0.500
0.000 0.500 0.000
0.500 0.000 0.000
0.000 0.000 0.000
0.500 0.500 0.500
```

Output
The calculation puts the energy of formation from the pure elements at -52 meV/atom. As for the density of states at the Fermi level: 5.40 states/eV/f.u.



Number 1: ρ 3.80 g cm⁻³. Number 2: ρ 6.34 g cm⁻³. Number 3: ρ 12.38 g cm⁻³. Number 4: ρ 9.93 g cm⁻³. Number 5: ρ 9.21 g cm⁻³. Number 6: ρ 11.63 g cm⁻³. Number 7: ρ 3.31 g cm⁻³. Number 8: ρ 8.61 g cm⁻³. Number 9: ρ 6.07 g cm⁻³. Number 10: ρ 2.67 g cm⁻³. Number 11: ρ 7.21 g cm⁻³. Number 12: ρ 13.20 g cm⁻³. Number 13: ρ 7.60 g cm⁻³. Number 14: ρ 6.44 g cm⁻³. Number 15: ρ 7.33 g cm⁻³. Number 16: ρ 2.37 g cm⁻³. Number 17: ρ 12.77 g cm⁻³. Number 18: ρ 8.47 g cm⁻³. Number 19: ρ 12.80 g cm⁻³. Number 20: ρ 5.86 g cm⁻³.